Tm3In2H, relaxed, DFT PBE; energy = -4.03 eV/atom; symmetry = C2/c; total magnetization = 0.00 μB/f.u.
1.0
6.994 -3.077 0.000
6.994 3.077 0.000
-0.885 0.000 6.503
Tm In H
6 4 2
direct
0.083 0.917 0.750
0.296 0.468 0.358
0.468 0.296 0.858
0.532 0.704 0.142
0.704 0.532 0.642
0.917 0.083 0.250
0.124 0.250 0.037
0.250 0.124 0.537
0.750 0.876 0.463
0.876 0.750 0.963
0.424 0.576 0.750
0.576 0.424 0.250

***

Cr3FeW2, relaxed, DFT PBE; ΔE_f = 0.03 eV/atom; energy = -10.51 eV/atom; symmetry = R-3m; total magnetization = 1.57 μB/f.u.
1.0
2.367 1.366 3.990
-2.367 1.366 3.990
0.000 -2.733 3.990
Cr Fe W
3 1 2
direct
0.000 0.500 0.500
0.500 0.000 0.500
0.500 0.500 0.000
0.500 0.500 0.500
0.124 0.124 0.124
0.876 0.876 0.876

***

K8IBr6, relaxed, DFT PBE; energy = -2.84 eV/atom; symmetry = P-3; total magnetization = 0.00 μB/f.u.; formation energy without anion corrections = -1.49 eV per atom
1.0
12.257 0.000 0.000
-6.128 10.615 0.000
0.000 0.000 4.941
K I Br
8 1 6
direct
0.035 0.329 0.241
0.293 0.965 0.241
0.329 0.293 0.759
0.333 0.667 0.754
0.667 0.333 0.246
0.671 0.707 0.241
0.707 0.035 0.759
0.965 0.671 0.759
0.000 0.000 0.000
0.132 0.660 0.257
0.340 0.472 0.257
0.472 0.132 0.743
0.528 0.868 0.257
0.660 0.528 0.743
0.868 0.340 0.743

***

PaBiI, relaxed, DFT PBE; energy = -5.09 eV/atom; symmetry = P-6m2; total magnetization = 1.28 μB/f.u.; formation energy without anion corrections = -0.11 eV per atom
1.0
5.406 0.000 0.000
-2.703 4.682 0.000
0.000 0.000 3.606
Pa Bi I
1 1 1
direct
0.000 0.000 0.000
0.667 0.333 0.500
0.333 0.667 0.000

***

Question: The lowest energy belongs to which entry?
Answer: Cr3FeW2